This record from Alexandria via LeMat-Bulk describes crystalline SmReN2 at its relaxed geometry. The functional is PBE.

- formation energy from raw total energies (eV/atom) = 0.1641
- space-group type = R-3m, No. 166
- E_tot (eV/cell) = -33.16

a = 6.468 Å, b = 6.468 Å, c = 6.468 Å
α = 30.21°, β = 30.21°, γ = 30.21°
Sites, in units of the cell vectors:
Sm: 0.000 0.000 0.000
Re: 0.500 0.500 0.500
N: 0.124 0.124 0.124
N: 0.876 0.876 0.876